The following is a GGA-PBE calculation of ThZnPN after structural relaxation, from Alexandria.

Summary:
Energy relative to the elements, uncorrected: -1.169 eV per atom

Lattice parameters (Å, degrees): 4.0253 4.0253 10.7306 79.19 79.19 60.00
Closest atoms and distances in Å follow each position.
Sites, in units of the cell vectors:
P 0.3854 0.3854 0.8439  4 Zn 2.43-2.56
P 0.6146 0.6146 0.1561  4 Zn 2.43-2.56
Zn 0.3037 0.3037 0.0888  4 P 2.43-2.56
Zn 0.6963 0.6963 0.9112  4 P 2.43-2.56
N 0.1954 0.1954 0.4137  4 Th 2.37-2.39
N 0.8046 0.8046 0.5863  4 Th 2.37-2.39
Th 0.1199 0.1199 0.6402  4 N 2.37-2.39
Th 0.8801 0.8801 0.3598  4 N 2.37-2.39

The following is a GGA-PBE calculation of ThZnP2N6 after structural relaxation, from Alexandria.

Summary:
Energy relative to the elements, uncorrected: -0.493 eV per atom

Lattice parameters (Å, degrees): 5.7101 7.1835 7.1835 96.24 71.71 71.71
Closest atoms and distances in Å follow each position.
Sites, in units of the cell vectors:
N 0.3179 0.4100 0.4174  1 N 1.46
N 0.7888 0.0898 0.2074  1 P 1.60
N 0.6821 0.5900 0.5826  1 N 1.46
N 0.5931 0.1878 0.6202  1 P 1.59
N 0.1821 0.5826 0.5900  1 N 1.46
N 0.4069 0.8122 0.3798  1 P 1.59
N 0.2112 0.9102 0.7926  1 P 1.60
N 0.8179 0.4174 0.4100  1 N 1.46
N 0.7112 0.7926 0.9102  1 P 1.60
N 0.9069 0.3798 0.8122  1 P 1.59
N 0.2888 0.2074 0.0898  1 P 1.60
N 0.0931 0.6202 0.1878  1 P 1.59
Th 0.7500 0.1229 0.8771  6 N 2.32-2.48
Th 0.2500 0.8771 0.1229  6 N 2.32-2.48
Zn 0.7500 0.7969 0.2031  2 N 1.93
Zn 0.2500 0.2031 0.7969  2 N 1.93
P 0.1328 0.4139 0.2569  2 N 1.59-1.60
P 0.3672 0.7431 0.5861  2 N 1.59-1.60
P 0.8672 0.5861 0.7431  2 N 1.59-1.60
P 0.6328 0.2569 0.4139  2 N 1.59-1.60

The following is a GGA-PBE calculation of ThZrPN after structural relaxation, from Alexandria.

Summary:
Energy relative to the elements, uncorrected: -1.345 eV per atom

Lattice parameters (Å, degrees): 4.2384 4.2384 8.9643 90.00 90.00 90.00
Closest atoms and distances in Å follow each position.
Sites, in units of the cell vectors:
Zr 0.5000 0.5000 0.5000  4 P 2.64
Zr 0.0000 0.0000 0.5000  4 P 2.64
N 0.5000 0.5000 0.0000  4 Th 2.38
N 0.0000 0.0000 0.0000  4 Th 2.38
P 0.5000 0.0000 0.6760  4 Zr 2.64
P 0.0000 0.5000 0.3240  4 Zr 2.64
Th 0.0000 0.5000 0.8796  4 N 2.38
Th 0.5000 0.0000 0.1204  4 N 2.38

- Which of these has the highest energy relative to the elements, uncorrected?
  ThZnP2N6

Please write out number 3 again, unchanged.
The following is a GGA-PBE calculation of ThZrPN after structural relaxation, from Alexandria.

Summary:
Energy relative to the elements, uncorrected: -1.345 eV per atom

Lattice parameters (Å, degrees): 4.2384 4.2384 8.9643 90.00 90.00 90.00
Closest atoms and distances in Å follow each position.
Sites, in units of the cell vectors:
Zr 0.5000 0.5000 0.5000  4 P 2.64
Zr 0.0000 0.0000 0.5000  4 P 2.64
N 0.5000 0.5000 0.0000  4 Th 2.38
N 0.0000 0.0000 0.0000  4 Th 2.38
P 0.5000 0.0000 0.6760  4 Zr 2.64
P 0.0000 0.5000 0.3240  4 Zr 2.64
Th 0.0000 0.5000 0.8796  4 N 2.38
Th 0.5000 0.0000 0.1204  4 N 2.38